Entry 1:
Entry from Alexandria: a relaxed HfTl3Ir crystal (PBE-GGA).

Results
Space group   No. 221
E_form   18.7 kcal/mol of atoms
Magnetization   0.00 μB per atom
V   142 Å³ per cell
Theoretical density   11.5 Mg/m³
Energy above the lowest structure with this stoichiometry   0.000 eV/atom
Electronic total energy   -21.9 eV per cell

Lattice parameters (Å, degrees): 5.222 5.222 5.222 90.00 90.00 90.00
Sites, in units of the cell vectors:
1 Hf 0.000 0.000 0.000
2 Tl 0.000 0.500 0.500
3 Tl 0.500 0.000 0.500
4 Tl 0.500 0.500 0.000
5 Ir 0.500 0.500 0.500

Entry 2:
Entry from Alexandria: a relaxed Li2Ce2PrTl2 crystal (PBE-GGA).

Results
Space group   No. 166
E_form   -4.4 kcal/mol of atoms
Magnetization   0.18 μB per atom
V   176 Å³ per cell
Theoretical density   7.9 Mg/m³
Electronic total energy   -26.5 eV per cell

Lattice parameters (Å, degrees): 9.760 9.760 9.760 27.62 27.62 27.62
Sites, in units of the cell vectors:
1 Li 0.083 0.083 0.083
2 Li 0.917 0.917 0.917
3 Ce 0.355 0.355 0.355
4 Ce 0.645 0.645 0.645
5 Pr 0.500 0.500 0.500
6 Tl 0.237 0.237 0.237
7 Tl 0.763 0.763 0.763

Entry 3:
Entry from Alexandria: a relaxed Ac12PrNd5 crystal (PBE-GGA).

Results
Space group   No. 12
E_form   0.6 kcal/mol of atoms
Magnetization   0.00 μB per atom
V   755 Å³ per cell
Theoretical density   7.9 Mg/m³
Electronic total energy   -77.5 eV per cell

Lattice parameters (Å, degrees): 6.789 6.789 19.032 93.41 93.41 119.96
Sites, in units of the cell vectors:
1 Ac 0.055 0.389 0.163
2 Ac 0.113 0.113 0.337
3 Ac 0.221 0.554 0.663
4 Ac 0.279 0.279 0.837
5 Ac 0.389 0.055 0.163
6 Ac 0.446 0.779 0.337
7 Ac 0.554 0.221 0.663
8 Ac 0.611 0.945 0.837
9 Ac 0.721 0.721 0.163
10 Ac 0.779 0.446 0.337
11 Ac 0.887 0.887 0.663
12 Ac 0.945 0.611 0.837
13 Pr 0.000 0.000 0.000
14 Nd 0.167 0.833 0.500
15 Nd 0.333 0.667 0.000
16 Nd 0.500 0.500 0.500
17 Nd 0.667 0.333 0.000
18 Nd 0.833 0.167 0.500

Entry 4:
Entry from Alexandria: a relaxed PtCl3 crystal (PBE-GGA).

Results
Space group   No. 59
Magnetization   0.00 μB per atom
Formation energy (no corrections)   -336.6 meV/atom
V   196 Å³ per cell
Theoretical density   5.1 Mg/m³
Electronic total energy   -25.9 eV per cell

Lattice parameters (Å, degrees): 5.129 10.821 3.528 90.00 90.00 90.00
Sites, in units of the cell vectors:
1 Pt 0.250 0.250 0.233
2 Pt 0.750 0.750 0.767
3 Cl 0.250 0.106 0.733
4 Cl 0.250 0.394 0.733
5 Cl 0.250 0.750 0.768
6 Cl 0.750 0.250 0.232
7 Cl 0.750 0.606 0.267
8 Cl 0.750 0.894 0.267

Entry 5:
Entry from Alexandria: a relaxed Sb2OsRu crystal (PBE-GGA).

Results
Space group   No. 65
Magnetization   0.00 μB per atom
Formation energy (no corrections)   395.2 meV/atom
V   70 Å³ per cell
Theoretical density   12.6 Mg/m³
Energy above the lowest structure with this stoichiometry   0.141 eV/atom
Electronic total energy   -27.2 eV per cell

Lattice parameters (Å, degrees): 4.712 4.712 3.183 90.00 90.00 94.89
Sites, in units of the cell vectors:
1 Sb 0.000 0.500 0.000
2 Sb 0.500 0.000 0.000
3 Os 0.000 0.000 0.500
4 Ru 0.500 0.500 0.500

Entry 6:
Entry from Alexandria: a relaxed BaCd2PdI crystal (PBE-GGA).

Results
Space group   No. 123
Magnetization   0.00 μB per atom
Formation energy (no corrections)   -624.5 meV/atom
V   173 Å³ per cell
Theoretical density   5.7 Mg/m³
Electronic total energy   -13.6 eV per cell

Lattice parameters (Å, degrees): 5.301 5.301 6.153 90.00 90.00 90.00
Sites, in units of the cell vectors:
1 Ba 0.000 0.000 0.000
2 Cd 0.000 0.500 0.500
3 Cd 0.500 0.000 0.500
4 Pd 0.000 0.000 0.500
5 I 0.500 0.500 0.000

Entry 7:
Entry from Alexandria: a relaxed CaLaScCd crystal (PBE-GGA).

Results
Space group   No. 216
E_form   0.0 kcal/mol of atoms
Magnetization   0.00 μB per atom
V   120 Å³ per cell
Theoretical density   4.6 Mg/m³
Electronic total energy   -14.2 eV per cell

Lattice parameters (Å, degrees): 5.542 5.542 5.542 60.00 60.00 60.00
Sites, in units of the cell vectors:
1 Ca 0.000 0.000 0.000
2 La 0.500 0.500 0.500
3 Sc 0.250 0.250 0.250
4 Cd 0.750 0.750 0.750

Entry 8:
Entry from Alexandria: a relaxed ScPH3 crystal (PBE-GGA).

Results
Space group   No. 221
Magnetization   0.00 μB per atom
V   44 Å³ per cell
Theoretical density   3.0 Mg/m³
Energy above the lowest structure with this stoichiometry   0.017 eV/atom
Electronic total energy   -20.5 eV per cell

Lattice parameters (Å, degrees): 3.523 3.523 3.523 90.00 90.00 90.00
Sites, in units of the cell vectors:
1 Sc 0.000 0.000 0.000
2 P 0.500 0.500 0.500
3 H 0.000 0.500 0.500
4 H 0.500 0.000 0.500
5 H 0.500 0.500 0.000

Entry 9:
Entry from Alexandria: a relaxed UTiAu2 crystal (PBE-GGA).

Results
Space group   No. 123
E_form   -4.6 kcal/mol of atoms
Magnetization   0.86 μB per atom
V   77 Å³ per cell
Theoretical density   14.7 Mg/m³
Electronic total energy   -26.5 eV per cell

Lattice parameters (Å, degrees): 2.998 2.998 8.538 90.00 90.00 90.00
Sites, in units of the cell vectors:
1 U 0.000 0.000 0.000
2 Ti 0.000 0.000 0.500
3 Au 0.500 0.500 0.279
4 Au 0.500 0.500 0.721

Entry 10:
Entry from Alexandria: a relaxed PmAlZn2Au5 crystal (PBE-GGA).

Results
Space group   No. 71
E_form   -6.1 kcal/mol of atoms
Magnetization   0.00 μB per atom
V   192 Å³ per cell
Theoretical density   11.2 Mg/m³
Electronic total energy   -29.8 eV per cell

Lattice parameters (Å, degrees): 7.796 7.796 7.796 144.38 135.55 58.21
Sites, in units of the cell vectors:
1 Pm 0.000 0.000 0.000
2 Al 0.500 0.500 0.000
3 Zn 0.312 0.812 0.500
4 Zn 0.688 0.188 0.500
5 Au 0.087 0.349 0.738
6 Au 0.389 0.651 0.738
7 Au 0.500 0.000 0.500
8 Au 0.611 0.349 0.262
9 Au 0.913 0.651 0.262

Entry 11:
Entry from Alexandria: a relaxed Tl2NiRh crystal (PBE-GGA).

Results
Space group   No. 99
E_form   5.8 kcal/mol of atoms
Magnetization   0.23 μB per atom
V   80 Å³ per cell
Theoretical density   11.9 Mg/m³
Energy above the lowest structure with this stoichiometry   0.048 eV/atom
Electronic total energy   -16.9 eV per cell

Lattice parameters (Å, degrees): 3.193 3.193 7.826 90.00 90.00 90.00
Sites, in units of the cell vectors:
1 Tl 0.000 0.000 0.000
2 Tl 0.500 0.500 0.365
3 Ni 0.000 0.000 0.602
4 Rh 0.500 0.500 0.755

Entry 12:
Entry from Alexandria: a relaxed Pm12MgCd3 crystal (PBE-GGA).

Results
Space group   No. 123
E_form   -1.9 kcal/mol of atoms
Magnetization   0.00 μB per atom
V   490 Å³ per cell
Theoretical density   7.1 Mg/m³
Electronic total energy   -62.6 eV per cell

Lattice parameters (Å, degrees): 4.970 4.970 19.836 90.00 90.00 90.00
Sites, in units of the cell vectors:
1 Pm 0.000 0.000 0.000
2 Pm 0.000 0.000 0.249
3 Pm 0.000 0.000 0.500
4 Pm 0.000 0.000 0.751
5 Pm 0.000 0.500 0.124
6 Pm 0.000 0.500 0.373
7 Pm 0.000 0.500 0.627
8 Pm 0.000 0.500 0.876
9 Pm 0.500 0.000 0.124
10 Pm 0.500 0.000 0.373
11 Pm 0.500 0.000 0.627
12 Pm 0.500 0.000 0.876
13 Mg 0.500 0.500 0.500
14 Cd 0.500 0.500 0.000
15 Cd 0.500 0.500 0.249
16 Cd 0.500 0.500 0.751

Number 4 is which compound? PtCl3

V of number 12 (Pm12MgCd3)? 490 Å³ per cell

Look up the magnetization of the tenth one. 0.00 μB per atom

The lowest electronic total energy belongs to which entry? Ac12PrNd5